1.
Density functional theory data (PBE-GGA) for a geometry-optimized Dy3Y2Tm7 structure.

a = 6.2581 Å, b = 3.4807 Å, c = 17.2486 Å
α = 90.00°, β = 96.24°, γ = 90.00°
With the nearest neighbours (Å) after each atom.
Space group P2/m (No. 10)
Unique sites:
Dy: 0.0000 0.0000 0.0000 (multiplicity 1)  2 Dy 3.48, 10 Tm 3.49-3.58
Dy: 0.0509 0.5000 0.6570 (multiplicity 2)  2 Dy 3.48, 7 Tm 3.53-3.70, 4 Y 3.57-3.62
Y: 0.4395 0.0000 0.3257 (multiplicity 2)  5 Tm 3.38-3.44, 2 Y 3.48, 4 Dy 3.57-3.62
Tm: 0.2258 0.5000 0.1640 (multiplicity 2)  2 Y 3.43, 7 Tm 3.47-3.59, 3 Dy 3.49-3.70
Tm: 0.2452 0.0000 0.5009 (multiplicity 2)  2 Tm 3.07-3.19, 2 Y 3.38-3.40
Tm: 0.2743 0.0000 0.8335 (multiplicity 2)  1 Y 3.44, 8 Tm 3.48-3.59, 3 Dy 3.50-3.65
Tm: 0.5000 0.5000 0.0000 (multiplicity 1)  8 Tm 3.47-3.52, 4 Dy 3.58

Calculated values
* total moment: 0.00 μB/f.u.
* DFT total energy: -4.750 eV per atom
* E above lowest polymorph: 0.000 eV per atom

---

2.
Density functional theory data (PBE-GGA) for a geometry-optimized LiNdErZn structure.

a = 3.6589 Å, b = 3.6589 Å, c = 7.4320 Å
α = 90.00°, β = 90.00°, γ = 90.00°
With the nearest neighbours (Å) after each atom.
Space group P4mm (No. 99)
Unique sites:
Li: 0.0000 0.0000 0.0000 (multiplicity 1)  4 Er 3.20, 4 Nd 3.33, 1 Zn 3.48
Nd: 0.5000 0.5000 0.7189 (multiplicity 1)  4 Zn 3.19, 4 Li 3.33, 1 Er 3.46
Er: 0.5000 0.5000 0.2534 (multiplicity 1)  4 Zn 3.04, 4 Li 3.20
Zn: 0.0000 0.0000 0.4686 (multiplicity 1)  4 Er 3.04, 4 Nd 3.19

Calculated values
* total moment: 0.00 μB/f.u.
* DFT total energy: -3.246 eV per atom
* E above lowest polymorph: 0.000 eV per atom

---

3.
Density functional theory data (PBE-GGA) for a geometry-optimized Rb2Te2I structure.

a = 9.7536 Å, b = 9.7536 Å, c = 5.5138 Å
α = 90.00°, β = 90.00°, γ = 90.00°
With the nearest neighbours (Å) after each atom.
Space group P4/mbm (No. 127)
Unique sites:
Rb: 0.1804 0.3196 0.0000 (multiplicity 4)  2 I 3.58, 4 Te 3.95
Te: 0.0978 0.5978 0.5000 (multiplicity 4)  1 Te 2.70
I: 0.0000 0.0000 0.0000 (multiplicity 2)  4 Rb 3.58

Calculated values
* energy relative to the elements, uncorrected: -766 meV/atom
* total moment: 1.00 μB/f.u.
* DFT total energy: -2.719 eV per atom
* E above lowest polymorph: 0.178 eV per atom

---

4.
Density functional theory data (PBE-GGA) for a geometry-optimized AcTb4SmSe8 structure.

a = 8.5772 Å, b = 8.5772 Å, c = 21.1356 Å
α = 90.00°, β = 90.00°, γ = 120.00°
With the nearest neighbours (Å) after each atom.
Space group R3m (No. 160, hexagonal axes)
Unique sites:
Ac: 0.0000 0.0000 0.0000 (multiplicity 3)  4 Se 2.93-2.94
Tb: 0.0000 0.0000 0.2514 (multiplicity 3)  4 Se 2.75-2.77
Tb: 0.0069 0.5034 0.1267 (multiplicity 9)  6 Se 2.90-2.93
Sm: 0.0000 0.0000 0.6230 (multiplicity 3)  6 Se 2.95-2.97
Se: 0.0000 0.0000 0.3826 (multiplicity 3)  4 Tb 2.77-2.93
Se: 0.0000 0.0000 0.8607 (multiplicity 3)  3 Tb 2.90, 1 Ac 2.94
Se: 0.0364 0.5182 0.3821 (multiplicity 9)  2 Tb 2.90, 1 Ac 2.93, 1 Sm 2.95
Se: 0.1732 0.3464 0.2054 (multiplicity 9)  3 Tb 2.75-2.92, 1 Sm 2.97

Calculated values
* energy relative to the elements, uncorrected: -1729 meV/atom
* total moment: 0.01 μB/f.u.
* DFT total energy: -5.673 eV per atom

---

5.
Density functional theory data (PBE-GGA) for a geometry-optimized TbCe2PmSe5 structure.

a = 5.1582 Å, b = 5.1582 Å, c = 10.9577 Å
α = 90.00°, β = 90.00°, γ = 90.00°
With the nearest neighbours (Å) after each atom.
Space group P4/mmm (No. 123)
Unique sites:
Tb: 0.0000 0.0000 0.0000 (multiplicity 1)  6 Se 2.58-2.76
Ce: 0.5000 0.5000 0.1893 (multiplicity 2)  5 Se 3.31-3.40
Pm: 0.0000 0.0000 0.5000 (multiplicity 1)  2 Se 2.71
Se: 0.0000 0.0000 0.2523 (multiplicity 2)  1 Pm 2.71, 1 Tb 2.76
Se: 0.0000 0.5000 0.0000 (multiplicity 2)  2 Tb 2.58
Se: 0.5000 0.5000 0.5000 (multiplicity 1)  2 Ce 3.40, 4 Pm 3.65

Calculated values
* energy relative to the elements, uncorrected: -1290 meV/atom
* total moment: 3.46 μB/f.u.
* DFT total energy: -5.587 eV per atom

---

6.
Density functional theory data (PBE-GGA) for a geometry-optimized Hg2PbBr2 structure.

a = 4.4187 Å, b = 4.4187 Å, c = 37.0331 Å
α = 90.00°, β = 90.00°, γ = 120.00°
With the nearest neighbours (Å) after each atom.
Space group R-3m (No. 166, hexagonal axes)
Unique sites:
Hg: 0.0000 0.0000 0.1362 (multiplicity 6)  3 Hg 3.41
Pb: 0.0000 0.0000 0.0000 (multiplicity 3)  6 Br 3.07
Br: 0.0000 0.0000 0.3795 (multiplicity 6)  3 Pb 3.07

Calculated values
* energy relative to the elements, uncorrected: -514 meV/atom
* total moment: 0.00 μB/f.u.
* DFT total energy: -2.045 eV per atom
* E above lowest polymorph: 0.000 eV per atom

---

7.
Density functional theory data (PBE-GGA) for a geometry-optimized Ac2EuY structure.

a = 5.5513 Å, b = 5.5513 Å, c = 5.2363 Å
α = 90.00°, β = 90.00°, γ = 90.00°
With the nearest neighbours (Å) after each atom.
Space group P4/mmm (No. 123)
Unique sites:
Ac: 0.0000 0.5000 0.0000 (multiplicity 2)  4 Eu 3.82, 4 Y 3.82, 4 Ac 3.93
Eu: 0.0000 0.0000 0.5000 (multiplicity 1)  8 Ac 3.82, 4 Y 3.93
Y: 0.5000 0.5000 0.5000 (multiplicity 1)  8 Ac 3.82, 4 Eu 3.93

Calculated values
* total moment: 7.58 μB/f.u.
* DFT total energy: -6.172 eV per atom
* E above lowest polymorph: 0.035 eV per atom

---

8.
Density functional theory data (PBE-GGA) for a geometry-optimized CaAcTbNd structure.

a = 3.7926 Å, b = 3.7926 Å, c = 10.6679 Å
α = 90.00°, β = 90.00°, γ = 90.00°
With the nearest neighbours (Å) after each atom.
Space group P4mm (No. 99)
Unique sites:
Ca: 0.0000 0.0000 0.0000 (multiplicity 1)  4 Tb 3.77, 4 Ca 3.79, 4 Ac 4.02
Ac: 0.5000 0.5000 0.7193 (multiplicity 1)  4 Ac 3.79, 4 Nd 3.80, 4 Ca 4.02
Tb: 0.5000 0.5000 0.2488 (multiplicity 1)  4 Nd 3.55, 4 Ca 3.77, 4 Tb 3.79
Nd: 0.0000 0.0000 0.4667 (multiplicity 1)  4 Tb 3.55, 4 Nd 3.79, 4 Ac 3.80

Calculated values
* total moment: 0.00 μB/f.u.
* DFT total energy: -3.820 eV per atom
* E above lowest polymorph: 0.000 eV per atom

---

9.
Density functional theory data (PBE-GGA) for a geometry-optimized CaHg2Au2 structure.

a = 4.8132 Å, b = 8.3556 Å, c = 12.9142 Å
α = 90.00°, β = 90.00°, γ = 90.00°
With the nearest neighbours (Å) after each atom.
Space group Cmcm (No. 63)
Unique sites:
Ca: 0.0000 0.0013 0.2500 (multiplicity 4)  6 Au 3.11
Hg: 0.0000 0.3350 0.0823 (multiplicity 8)  4 Au 2.89-2.90
Au: 0.0000 0.3320 0.6422 (multiplicity 8)  1 Au 2.78, 4 Hg 2.89-2.90, 3 Ca 3.11

Calculated values
* total moment: 0.00 μB/f.u.
* DFT total energy: -2.213 eV per atom
* E above lowest polymorph: 0.000 eV per atom

---

10.
Density functional theory data (PBE-GGA) for a geometry-optimized K14NaAu structure.

a = 12.8166 Å, b = 11.0898 Å, c = 14.4544 Å
α = 90.00°, β = 90.00°, γ = 90.00°
With the nearest neighbours (Å) after each atom.
Space group Amm2 (No. 38)
Unique sites:
K: 0.0000 0.0000 0.0000 (multiplicity 2)  8 K 4.46-4.67
K: 0.0000 0.0000 0.4686 (multiplicity 2)  10 K 4.47-4.69
K: 0.0000 0.2092 0.7332 (multiplicity 4)  9 K 4.39-4.69
K: 0.2322 0.0000 0.2294 (multiplicity 4)  8 K 4.29-4.62, 1 Na 4.48
K: 0.2900 0.0000 0.8094 (multiplicity 4)  1 Au 3.51
K: 0.3175 0.1872 0.5320 (multiplicity 8)  1 Au 3.59
K: 0.5000 0.2248 0.2722 (multiplicity 4)  1 Au 3.50
Na: 0.5000 0.0000 0.0304 (multiplicity 2)  10 K 4.18-4.48
Au: 0.5000 0.0000 0.6539 (multiplicity 2)  8 K 3.50-3.59

Calculated values
* total moment: 0.00 μB/f.u.
* DFT total energy: -1.272 eV per atom

---

11.
Density functional theory data (PBE-GGA) for a geometry-optimized PrSm3Er3 structure.

a = 8.6849 Å, b = 8.6849 Å, c = 22.0065 Å
α = 90.00°, β = 90.00°, γ = 120.00°
With the nearest neighbours (Å) after each atom.
Space group R-3 (No. 148, hexagonal axes)
Unique sites:
Pr: 0.0000 0.0000 0.1535 (multiplicity 6)  6 Er 3.56-3.81, 6 Sm 3.67-3.78
Sm: 0.0509 0.6029 0.3805 (multiplicity 18)  4 Er 3.31-3.62, 2 Sm 3.62, 1 Pr 3.67
Er: 0.0049 0.7743 0.5586 (multiplicity 18)  4 Er 3.25-3.43, 4 Sm 3.31-3.62, 1 Pr 3.56

Calculated values
* total moment: 0.00 μB/f.u.
* DFT total energy: -4.460 eV per atom
* E above lowest polymorph: 0.000 eV per atom

---

12.
Density functional theory data (PBE-GGA) for a geometry-optimized Np2PPt3 structure.

a = 5.8163 Å, b = 9.2084 Å, c = 16.1811 Å
α = 90.00°, β = 90.00°, γ = 90.00°
With the nearest neighbours (Å) after each atom.
Space group Fmmm (No. 69)
Unique sites:
Np: 0.2305 0.0000 0.0000 (multiplicity 8)  1 Np 2.68
Np: 0.2500 0.2500 0.2500 (multiplicity 8)  2 Np 2.91, 8 Pt 3.01-3.03, 4 P 3.05
P: 0.0000 0.0000 0.3351 (multiplicity 8)  3 Pt 2.52-2.65
Pt: 0.0000 0.0000 0.1713 (multiplicity 8)  3 P 2.65-2.91, 2 Pt 2.79
Pt: 0.0000 0.2363 0.4141 (multiplicity 16)  1 P 2.52, 2 Pt 2.78-2.79

Calculated values
* total moment: 7.10 μB/f.u.
* DFT total energy: -8.855 eV per atom

---

Copy entry 2 word for word.
Density functional theory data (PBE-GGA) for a geometry-optimized LiNdErZn structure.

a = 3.6589 Å, b = 3.6589 Å, c = 7.4320 Å
α = 90.00°, β = 90.00°, γ = 90.00°
With the nearest neighbours (Å) after each atom.
Space group P4mm (No. 99)
Unique sites:
Li: 0.0000 0.0000 0.0000 (multiplicity 1)  4 Er 3.20, 4 Nd 3.33, 1 Zn 3.48
Nd: 0.5000 0.5000 0.7189 (multiplicity 1)  4 Zn 3.19, 4 Li 3.33, 1 Er 3.46
Er: 0.5000 0.5000 0.2534 (multiplicity 1)  4 Zn 3.04, 4 Li 3.20
Zn: 0.0000 0.0000 0.4686 (multiplicity 1)  4 Er 3.04, 4 Nd 3.19

Calculated values
* total moment: 0.00 μB/f.u.
* DFT total energy: -3.246 eV per atom
* E above lowest polymorph: 0.000 eV per atom

---

Q: The highest DFT total energy belongs to which entry?
A: K14NaAu

---

Q: What is the formula in the second record?
A: LiNdErZn